Entry i
DFT (PBE) results for crystalline LiLaAs2 at its relaxed geometry.

Cell lengths 3.7412, 3.7412, 6.1756 Å; angles 90.00, 90.00, 90.00 degrees
Last column: nearest neighbours and their distance in Å.
Fractional positions:
Li1 0.0000 0.0000 0.0000  8 As 2.94, 2 La 3.09
La1 0.0000 0.0000 0.5000  2 Li 3.09, 8 As 3.21
As1 0.5000 0.5000 0.2063  1 As 2.55
As2 0.5000 0.5000 0.7937  1 As 2.55

Calculated values
spin magnetization: 0.00 μB per formula unit
calculated density: 5680 kg/m3


Entry ii
DFT (PBE) results for crystalline LiLaAs2 at its relaxed geometry.

Cell lengths 4.9661, 4.9661, 4.9661 Å; angles 60.00, 60.00, 60.00 degrees
Last column: nearest neighbours and their distance in Å.
Fractional positions:
Li1 0.0000 0.0000 0.0000  4 As 3.04, 4 La 3.04
La1 0.2500 0.2500 0.2500  4 As 3.04, 4 Li 3.04
As1 0.5000 0.5000 0.5000  4 La 3.04, 4 As 3.04
As2 0.7500 0.7500 0.7500  4 As 3.04, 4 Li 3.04

Calculated values
spin magnetization: 0.00 μB per formula unit
calculated density: 5670 kg/m3


Entry iii
DFT (PBE) results for crystalline LiLaAs2 at its relaxed geometry.

Cell lengths 5.8148, 5.8148, 5.8148 Å; angles 137.69, 136.35, 62.41 degrees
Last column: nearest neighbours and their distance in Å.
Fractional positions:
Li1 0.0000 0.0000 0.0000  8 As 3.01-3.32, 4 La 3.27-3.28
La1 0.7465 0.2465 0.5000  8 As 3.01-3.31, 4 Li 3.27-3.28
As1 0.2471 0.7471 0.5000  4 La 3.01, 4 As 3.20-3.35, 4 Li 3.23-3.32
As2 0.4897 0.4897 0.0000  4 Li 3.01, 4 As 3.20-3.35, 4 La 3.24-3.31

Calculated values
spin magnetization: 0.00 μB per formula unit
calculated density: 5441 kg/m3


Entry iv
DFT (PBE) results for crystalline LiLaAs2 at its relaxed geometry.

Cell lengths 5.2041, 5.2041, 5.2041 Å; angles 125.44, 125.44, 80.81 degrees
Last column: nearest neighbours and their distance in Å.
Fractional positions:
Li1 0.0000 0.0000 0.0000  8 As 3.10, 4 La 3.37
La1 0.5000 0.5000 0.0000  8 As 3.10, 4 Li 3.37
As1 0.2500 0.7500 0.5000  4 Li 3.10, 4 La 3.10, 4 As 3.37
As2 0.7500 0.2500 0.5000  4 Li 3.10, 4 La 3.10, 4 As 3.37

Calculated values
spin magnetization: 0.00 μB per formula unit
calculated density: 5444 kg/m3


Preferred: entry iv; penalty for the next structure: 45 meV per atom.


Entry i
DFT (PBE) results for crystalline LiLaAs2 at its relaxed geometry.

Cell lengths 5.9696, 5.9696, 4.2158 Å; angles 110.03, 110.03, 42.84 degrees
Last column: nearest neighbours and their distance in Å.
Fractional positions:
Li1 0.0000 0.0000 0.0000  4 As 2.55-2.69
La1 0.2706 0.2706 0.7752  6 As 3.06-3.13, 2 Li 3.22
As1 0.6079 0.6079 0.9342  1 As 2.54, 2 Li 2.55
As2 0.8423 0.8423 0.3408  1 As 2.54, 2 Li 2.64-2.69

Calculated values
spin magnetization: 0.00 μB per formula unit
calculated density: 5170 kg/m3


Entry ii
DFT (PBE) results for crystalline LiLaAs2 at its relaxed geometry.

Cell lengths 3.7811, 3.7811, 6.2404 Å; angles 90.00, 90.00, 99.16 degrees
Last column: nearest neighbours and their distance in Å.
Fractional positions:
Li1 0.0000 0.0000 0.0000  4 As 2.77
La1 0.0000 0.0000 0.5000  8 As 3.06-3.42, 2 Li 3.12
As1 0.5000 0.5000 0.2055  1 As 2.56, 2 Li 2.77
As2 0.5000 0.5000 0.7945  1 As 2.56, 2 Li 2.77

Calculated values
spin magnetization: 0.00 μB per formula unit
calculated density: 5575 kg/m3


Preferred: entry i; penalty for the next structure: 141 meV per atom.


Entry i
DFT (PBE) results for crystalline LiLaAs2 at its relaxed geometry.

Cell lengths 5.0445, 5.0445, 5.0445 Å; angles 60.00, 60.00, 60.00 degrees
Last column: nearest neighbours and their distance in Å.
Fractional positions:
Li1 0.0000 0.0000 0.0000  8 As 3.09
La1 0.5000 0.5000 0.5000  8 As 3.09
As1 0.2500 0.2500 0.2500  4 La 3.09, 4 Li 3.09
As2 0.7500 0.7500 0.7500  4 La 3.09, 4 Li 3.09

Calculated values
spin magnetization: 0.00 μB per formula unit
calculated density: 5409 kg/m3


Entry ii
DFT (PBE) results for crystalline LiLaAs2 at its relaxed geometry.

Cell lengths 3.3703, 3.3703, 7.7699 Å; angles 90.00, 90.00, 90.00 degrees
Last column: nearest neighbours and their distance in Å.
Fractional positions:
Li1 0.0000 0.0000 0.0000  8 As 2.96
La1 0.0000 0.0000 0.5000  8 As 3.20, 4 La 3.37
As1 0.5000 0.5000 0.2257  4 Li 2.96, 4 La 3.20
As2 0.5000 0.5000 0.7743  4 Li 2.96, 4 La 3.20

Calculated values
spin magnetization: 0.00 μB per formula unit
calculated density: 5563 kg/m3


Entry iii
DFT (PBE) results for crystalline LiLaAs2 at its relaxed geometry.

Cell lengths 9.3620, 9.3620, 9.3620 Å; angles 20.33, 20.33, 20.33 degrees
Last column: nearest neighbours and their distance in Å.
Fractional positions:
Li1 0.0000 0.0000 0.0000  6 As 2.78
La1 0.5000 0.5000 0.5000  6 As 3.19, 6 La 3.30
As1 0.2598 0.2598 0.2598  3 Li 2.78
As2 0.7402 0.7402 0.7402  3 Li 2.78

Calculated values
spin magnetization: 0.30 μB per formula unit
calculated density: 5667 kg/m3


Preferred: entry i; penalty for the next structure: 117 meV per atom.


Entry i
DFT (PBE) results for crystalline LiLaAs2 at its relaxed geometry.

Cell lengths 9.3632, 9.3632, 9.3632 Å; angles 22.00, 22.00, 22.00 degrees
Last column: nearest neighbours and their distance in Å.
Fractional positions:
Li1 0.0000 0.0000 0.0000  3 As 2.85
La1 0.2199 0.2199 0.2199  3 As 3.26, 6 La 3.57
As1 0.4613 0.4613 0.4613  3 As 2.58
As2 0.7382 0.7382 0.7382  3 As 2.58, 3 Li 2.85

Calculated values
spin magnetization: 0.00 μB per formula unit
calculated density: 4861 kg/m3


Entry ii
DFT (PBE) results for crystalline LiLaAs2 at its relaxed geometry.

Cell lengths 4.0300, 4.0300, 10.8810 Å; angles 90.00, 90.00, 90.00 degrees
Last column: nearest neighbours and their distance in Å.
Fractional positions:
Li1 0.2500 0.7500 0.0000  4 As 2.63, 4 Li 2.85
Li2 0.7500 0.2500 0.0000  4 As 2.63, 4 Li 2.85
La1 0.2500 0.2500 0.2680  8 As 3.11-3.23
La2 0.7500 0.7500 0.7320  8 As 3.11-3.23
As1 0.2500 0.2500 0.8453  4 Li 2.63
As2 0.2500 0.7500 0.5000  4 As 2.85
As3 0.7500 0.2500 0.5000  4 As 2.85
As4 0.7500 0.7500 0.1547  4 Li 2.63

Calculated values
spin magnetization: 0.00 μB per formula unit
calculated density: 5557 kg/m3


Entry iii
DFT (PBE) results for crystalline LiLaAs2 at its relaxed geometry.

Cell lengths 8.7210, 8.7210, 8.7210 Å; angles 146.70, 146.70, 47.81 degrees
Last column: nearest neighbours and their distance in Å.
Fractional positions:
Li1 0.0000 0.0000 0.0000  4 As 2.39
Li2 0.7500 0.2500 0.5000  4 As 2.39
La1 0.2500 0.7500 0.5000  4 As 3.13
La2 0.5000 0.5000 0.0000  4 As 3.13
As1 0.3750 0.2119 0.3369  2 Li 2.39, 2 As 2.65
As2 0.7881 0.1250 0.1631  2 Li 2.39, 2 As 2.65
As3 0.8750 0.0381 0.6631  2 Li 2.39, 2 As 2.65
As4 0.9619 0.6250 0.8369  2 Li 2.39, 2 As 2.65

Calculated values
spin magnetization: 0.00 μB per formula unit
calculated density: 4931 kg/m3


Entry iv
DFT (PBE) results for crystalline LiLaAs2 at its relaxed geometry.

Cell lengths 4.2648, 4.2764, 5.8957 Å; angles 90.00, 90.00, 90.00 degrees
Last column: nearest neighbours and their distance in Å.
Fractional positions:
Li1 0.0000 0.0000 0.0000  6 As 2.94-3.02
La1 0.5000 0.5000 0.5040  6 As 2.95-3.02
As1 0.0000 0.0000 0.4991  2 Li 2.94-2.95, 4 La 3.02
As2 0.5000 0.5000 0.0037  2 La 2.95, 4 Li 3.02

Calculated values
spin magnetization: 0.00 μB per formula unit
calculated density: 4566 kg/m3


Preferred: entry ii; penalty for the next structure: 340 meV per atom.